# 1
8
Lattice="-4.5906 -4.0744 0.9263 1.1873 -2.3998 -4.6692 3.5953 -3.7057 1.5205" Properties=species:S:1:pos:R:3 comment="AcBIr2, optimized geometry, DFT PBE-GGA" n_ef_per_ev_fu=1.81 polymorph_energy_kj_per_mol_fu=0 formation_enthalpy_0k_ev_per_atom=-0.407 spacegroup="Cccm (66)" dft_energy_ev_per_cell=-60.3 pbc="T T T"
Ir 0.3577 -0.5407 0.1288
Ac 3.6140 -4.5409 -1.3231
B 1.8728 -4.3593 1.2432
B -0.4225 -6.3965 1.7064
Ac -1.0727 -3.5252 0.7145
Ir 0.8822 -5.8630 0.1197
Ir 1.7553 -7.2925 -1.8393
Ir 2.0881 -2.4351 0.3737

---

# 2
5
Lattice="-4.6709 2.7313 1.2536 0.5423 -1.5129 5.3165 2.9559 4.5934 1.0056" Properties=species:S:1:pos:R:3 comment="NaSnCl3, optimized geometry, DFT PBE-GGA" e_form_raw_ev_per_atom=-1.139 n_ef_per_ev_fu=0.00 spacegroup="Pm-3m (221)" dft_energy_ev_per_cell=-16.6 pbc="T T T"
Sn 0.0000 0.0000 0.0000
Cl 0.2711 -0.7564 2.6583
Cl -2.3354 1.3656 0.6268
Na -0.5863 2.9059 3.7879
Cl 1.4779 2.2967 0.5028

---

# 3
4
Lattice="-1.6500 -1.8130 4.1008 -1.7790 -3.7056 -2.3541 4.0740 -2.3400 0.6046" Properties=species:S:1:pos:R:3 comment="Nd2LuGe, optimized geometry, DFT PBE-GGA" n_ef_per_ev_fu=3.81 polymorph_energy_kj_per_mol_fu=0 formation_enthalpy_0k_ev_per_atom=-0.314 spacegroup="P4/mmm (123)" dft_energy_ev_per_cell=-19.9 pbc="T T T"
Nd 2.0370 -1.1700 0.3023
Lu -0.8250 -0.9065 2.0504
Nd -0.8895 -1.8528 -1.1770
Ge 0.3225 -3.9293 1.1757

---

# 4
12
Lattice="-1.1784 -3.3783 6.3302 -2.3493 -6.7742 -1.2488 4.7884 -5.4562 -0.6186" Properties=species:S:1:pos:R:3 comment="Sc5USb6, optimized geometry, DFT PBE-GGA" e_form_raw_ev_per_atom=-0.799 n_ef_per_ev_fu=11.25 spacegroup="C2/m (12)" dft_energy_ev_per_cell=-77.3 pbc="T T T"
Sb -0.0139 -6.6102 0.6994
Sb 0.7037 -10.6539 0.0769
Sb 0.5570 -4.9548 4.3860
Sb -0.9029 -2.5984 1.2697
Sb 1.2745 -8.9985 3.7635
Sc -1.7639 -5.0762 2.5407
Sc 1.6108 -8.1483 -1.2449
U 0.0000 0.0000 0.0000
Sc -0.9970 -9.1370 1.9182
Sc 2.2577 -6.4717 2.5447
Sc 0.8283 -4.0821 -0.6224
Sb -2.6249 -7.5540 3.8117

---

# 5
4
Lattice="5.3152 0.0000 0.0000 2.6576 4.6031 0.0000 2.6576 1.5344 4.3399" Properties=species:S:1:pos:R:3 comment="GdYPuZn, optimized geometry, DFT PBE-GGA" n_ef_per_ev_fu=14.42 formation_enthalpy_0k_ev_per_atom=0.117 spacegroup="F-43m (216)" dft_energy_ev_per_cell=-35.7 pbc="T T T"
Gd 2.6576 1.5344 1.0850
Zn 5.3152 3.0687 2.1699
Pu 0.0000 0.0000 0.0000
Y 7.9728 4.6031 3.2549

---

# 6
4
Lattice="0.0007 3.1097 0.7513 -2.9933 -0.9599 -2.8566 -5.0779 -2.4192 3.1965" Properties=species:S:1:pos:R:3 comment="V2SbSe, optimized geometry, DFT PBE-GGA" e_form_raw_ev_per_atom=-0.037 n_ef_per_ev_fu=3.15 polymorph_energy_kj_per_mol_fu=0 spacegroup="Cm (8)" dft_energy_ev_per_cell=-26.0 pbc="T T T"
V -3.3974 1.3817 0.5299
Sb -5.7770 -0.2364 0.4070
Se -1.3394 -0.1991 0.2623
V -2.5174 0.2938 -1.7949

---

# 7
3
Lattice="5.5127 0.0000 0.0000 2.7563 4.7741 0.0000 2.7563 1.5914 4.5011" Properties=species:S:1:pos:R:3 comment="BaZnCd, optimized geometry, DFT PBE-GGA" n_ef_per_ev_fu=3.41 formation_enthalpy_0k_ev_per_atom=0.171 spacegroup="F-43m (216)" dft_energy_ev_per_cell=-3.6 pbc="T T T"
Zn 5.5127 3.1828 2.2505
Ba 8.2690 4.7741 3.3758
Cd 0.0000 0.0000 0.0000

---

# 8
18
Lattice="12.1728 0.0000 0.0219 6.0864 8.5285 0.0109 -0.0094 0.0000 5.7764" Properties=species:S:1:pos:R:3 comment="Pm12NdEr5, optimized geometry, DFT PBE-GGA" n_ef_per_ev_fu=26.37 formation_enthalpy_0k_ev_per_atom=0.083 spacegroup="C2/m (12)" dft_energy_ev_per_cell=-83.1 pbc="T T T"
Pm 4.2624 3.0678 2.8925
Pm 7.9010 3.0678 2.9058
Pm 4.2645 5.4546 0.0113
Er 6.0817 0.0000 2.8991
Pm 3.6861 0.0000 0.0374
Pm 13.9854 3.0739 5.7979
Er 6.0864 2.3247 0.0109
Pm 2.4712 0.0000 2.9250
Pm 13.9874 5.4607 2.9168
Er 12.1729 6.2038 0.0219
Pm 7.8990 5.4546 5.7869
Er 6.0817 6.1859 2.8991
Pm 10.3488 5.4607 2.9034
Nd 0.0001 0.0000 0.0000
Er 12.1681 2.3426 2.9101
Pm 9.6923 0.0000 2.8733
Pm 8.4774 0.0000 5.7609
Pm 10.3509 3.0739 0.0223

---

# 9
3
Lattice="5.6874 0.0000 0.0000 -2.8437 4.9254 0.0000 0.0000 0.0000 4.2312" Properties=species:S:1:pos:R:3 comment="BaCaCr, optimized geometry, DFT PBE-GGA" n_ef_per_ev_fu=3.31 polymorph_energy_kj_per_mol_fu=90 formation_enthalpy_0k_ev_per_atom=0.631 spacegroup="P-6m2 (187)" dft_energy_ev_per_cell=-11.7 pbc="T T T"
Cr 0.0000 3.2836 2.1147
Ca 2.8437 1.6418 2.1161
Ba 0.0000 0.0000 0.0004

---

# 10
16
Lattice="6.1369 -1.4677 0.0000 -4.8095 7.0311 0.0000 0.0000 0.0000 14.6197" Properties=species:S:1:pos:R:3 comment="Pm3Y2Ho3, optimized geometry, DFT PBE-GGA" n_ef_per_ev_fu=15.10 polymorph_energy_kj_per_mol_fu=0 formation_enthalpy_0k_ev_per_atom=0.018 spacegroup="Pmmn (59)" dft_energy_ev_per_cell=-81.5 pbc="T T T"
Ho 2.3478 0.9112 10.9647
Pm -1.0850 4.6715 10.9647
Y -0.6749 1.6297 1.8055
Pm 2.0491 3.9211 1.8253
Ho 2.3815 0.9009 14.6080
Y 2.0023 3.9336 12.8141
Ho -1.0541 4.6625 7.2982
Ho -1.0541 4.6625 0.0116
Ho -1.0204 4.6521 3.6549
Pm -0.7217 1.6422 9.1351
Ho 2.3815 0.9009 7.3215
Y -0.6749 1.6297 5.5043
Pm 2.0491 3.9211 5.4845
Pm -0.7217 1.6422 12.7944
Y 2.0023 3.9336 9.1154
Pm 2.4125 0.8918 3.6549

---

# 11
12
Lattice="7.1396 -0.0009 0.0003 -3.5688 6.1837 0.0003 -1.1905 -2.0613 7.7740" Properties=species:S:1:pos:R:3 comment="Rb3TbTh2S6, optimized geometry, DFT PBE-GGA" e_form_raw_ev_per_atom=-1.712 n_ef_per_ev_fu=7.17 spacegroup="C2/m (12)" dft_energy_ev_per_cell=-67.7 pbc="T T T"
S 2.3892 4.1369 1.5523
Tb 0.0000 0.0000 0.0000
S 0.0170 4.1220 6.2245
Rb 1.1902 2.0607 3.8873
S -1.1816 2.0468 1.5500
Th 3.5694 2.0611 0.0003
S -0.0089 -0.0154 6.2223
S 3.5619 2.0747 6.2245
Rb 4.7591 -0.0005 3.8873
Th 0.0014 4.1217 0.0003
S 2.3633 -0.0005 1.5500
Rb -2.3788 4.1219 3.8873

---

# 12
9
Lattice="4.6052 -1.8607 -3.0998 -1.5735 2.0727 5.2447 -2.4121 -5.2879 0.7065" Properties=species:S:1:pos:R:3 comment="Ni4Ru5, optimized geometry, DFT PBE-GGA" n_ef_per_ev_fu=11.40 formation_enthalpy_0k_ev_per_atom=0.122 spacegroup="I4/mmm (139)" dft_energy_ev_per_cell=-68.4 pbc="T T T"
Ru -0.5967 -3.4500 1.1844
Ni 0.7273 -2.3708 -0.7937
Ni -1.3218 -1.0663 1.9737
Ni -2.6638 -2.1489 3.9775
Ru 0.0000 0.0000 0.0000
Ru 2.5484 -0.5513 -0.3220
Ru 1.2163 -1.6259 1.6670
Ni 1.4658 -4.7778 -1.5995
Ru 0.4833 0.7633 2.4669